No. 1
An optimized crystal structure of CsNa2Ga2. Source: the Alexandria database, functional PBE.

The density comes out at 3.03 Mg/m³. The size of the total moment is 0.00 Bohr magnetons per cell. For the total energy, the calculation gives -9.22 eV per formula unit. The calculation puts the relative energy among the computed polymorphs at 0 meV/atom. The formation energy from the elements comes out at 0.065 eV per atom.

The structure belongs to space group I4/mmm (No. 139); the cell edges are 5.7406, 5.7406 and 10.5934 Å and the angles 90.00°, 90.00° and 90.00°. The inequivalent atoms are Cs at (0.0000, 0.0000, 0.0000), Na at (0.0000, 0.5000, 0.2500) and Ga at (0.0000, 0.0000, 0.3837).



No. 2
An optimized crystal structure of CsTi2PdW. Source: the Alexandria database, functional PBE.

The density comes out at 7.40 Mg/m³. The size of the total moment is 1.66 Bohr magnetons per cell. For the total energy, the calculation gives -21.60 eV per formula unit. The formation energy from the elements comes out at 2.639 eV per atom.

The structure belongs to space group P4/mmm (No. 123); the cell edges are 4.8499, 4.8499 and 4.9518 Å and the angles 90.00°, 90.00° and 90.00°. The inequivalent atoms are Cs at (0.0000, 0.0000, 0.0000), Ti at (0.0000, 0.5000, 0.0000), Pd at (0.5000, 0.5000, 0.5000) and W at (0.0000, 0.0000, 0.5000).



No. 3
An optimized crystal structure of SrB. Source: the Alexandria database, functional PBE.

The density comes out at 1.94 Mg/m³. The size of the total moment is 10.38 Bohr magnetons per cell. For the total energy, the calculation gives -5.22 eV per formula unit. The calculation puts the relative energy among the computed polymorphs at 1592 meV/atom. The formation energy from the elements comes out at 1.571 eV per atom.

The structure belongs to space group Pm-3n (No. 223); the cell edges are 7.9624, 7.9624 and 7.9624 Å and the angles 90.00°, 90.00° and 90.00°. The inequivalent atoms are Sr at (0.0000, 0.2500, 0.5000) and B at (0.0000, 0.5000, 0.2500).



No. 4
An optimized crystal structure of ErSnI2. Source: the Alexandria database, functional PBE.

The density comes out at 6.43 Mg/m³. The size of the total moment is 0.00 Bohr magnetons per cell. For the total energy, the calculation gives -13.98 eV per formula unit. As for the formation energy without anion corrections: -578 meV per atom.

The structure belongs to space group R-3m (No. 166, hexagonal axes); the cell edges are 3.8432, 3.8432 and 32.6995 Å and the angles 90.00°, 90.00° and 120.00°. The inequivalent atoms are Er at (0.0000, 0.0000, 0.0000), Sn at (0.0000, 0.0000, 0.5000) and I at (0.0000, 0.0000, 0.3978).



No. 5
An optimized crystal structure of Cu2SiF. Source: the Alexandria database, functional PBE.

The density comes out at 5.18 Mg/m³. The size of the total moment is 0.00 Bohr magnetons per cell. For the total energy, the calculation gives -16.54 eV per formula unit. The calculation puts the relative energy among the computed polymorphs at 0 meV/atom. As for the formation energy without anion corrections: -263 meV per atom.

The structure belongs to space group I-42d (No. 122); the cell edges are 5.8943, 5.8943 and 6.4256 Å and the angles 90.00°, 90.00° and 90.00°. The inequivalent atoms are Cu at (0.2281, 0.2500, 0.1250), Si at (0.0000, 0.0000, 0.5000) and F at (0.0000, 0.0000, 0.0000).



No. 6
An optimized crystal structure of NbTlRu3. Source: the Alexandria database, functional PBE.

The density comes out at 8.80 Mg/m³. The size of the total moment is 1.92 Bohr magnetons per cell. For the total energy, the calculation gives -28.79 eV per formula unit. The calculation puts the relative energy among the computed polymorphs at 889 meV/atom. The formation energy from the elements comes out at 2.295 eV per atom.

The structure belongs to space group Pm-3m (No. 221); the cell edges are 4.8400, 4.8400 and 4.8400 Å and the angles 90.00°, 90.00° and 90.00°. The inequivalent atoms are Nb at (0.0000, 0.0000, 0.0000), Tl at (0.5000, 0.5000, 0.5000) and Ru at (0.0000, 0.5000, 0.5000).